VASP calculation (PBE) on a geometry-optimized CuAgBi2Se4 structure.

## Properties
For the total energy, the calculation gives -60.5 eV/cell. Its size of the total moment is 0.0 μB per formula unit. Its calculated density is 6214 kg/m3.

Cell lengths 8.798, 8.175, 6.726 Å; angles 90.00, 90.00, 90.00 degrees
Atoms (fractional coordinates):
Cu  0.000  0.177  0.000
Cu  0.500  0.823  0.500
Ag  0.000  0.827  0.501
Ag  0.500  0.173  0.001
Bi  0.245  0.677  0.980
Bi  0.255  0.323  0.480
Bi  0.745  0.323  0.480
Bi  0.755  0.677  0.980
Se  0.000  0.140  0.357
Se  0.000  0.891  0.891
Se  0.235  0.308  0.890
Se  0.265  0.692  0.390
Se  0.500  0.109  0.391
Se  0.500  0.860  0.857
Se  0.735  0.692  0.390
Se  0.765  0.308  0.890


VASP calculation (PBE) on a geometry-optimized TcBW3 structure.

## Properties
The value obtained for the formation energy is 2.80 eV/atom. Its size of the total moment is 0.0 μB per formula unit. Its calculated density is 10670 kg/m3.

Cell lengths 4.684, 4.684, 4.684 Å; angles 90.00, 90.00, 90.00 degrees
Atoms (fractional coordinates):
Tc  0.000  0.000  0.000
B  0.500  0.500  0.500
W  0.000  0.000  0.500
W  0.000  0.500  0.000
W  0.500  0.000  0.000


VASP calculation (PBE) on a geometry-optimized KBa2W structure.

## Properties
The value obtained for the formation energy is 1.20 eV/atom. Its size of the total moment is 3.1 μB per formula unit. As for the energy above the most stable polymorph in this dataset: 4.67 kcal/mol of atoms. Its calculated density is 5146 kg/m3.

Cell lengths 6.101, 6.101, 6.101 Å; angles 60.00, 60.00, 60.00 degrees
Atoms (fractional coordinates):
K  0.000  0.000  0.000
Ba  0.250  0.250  0.250
Ba  0.750  0.750  0.750
W  0.500  0.500  0.500


VASP calculation (PBE) on a geometry-optimized YIrSe2 structure.

## Properties
Its size of the total moment is 0.0 μB per formula unit. As for the energy above the most stable polymorph in this dataset: 11.62 kcal/mol of atoms. Its calculated density is 8244 kg/m3.

Cell lengths 3.818, 3.818, 6.852 Å; angles 90.00, 90.00, 117.68 degrees
Atoms (fractional coordinates):
Y  0.000  0.000  0.000
Ir  0.000  0.000  0.500
Se  0.500  0.500  0.280
Se  0.500  0.500  0.720